BaCa2Sc | PBE | optimized geometry

Structure (CIF):
```
data_BaCa2Sc
_chemical_formula_sum 'Ba4 Ca8 Sc4'
_cell_length_a 8.588
_cell_length_b 8.588
_cell_length_c 8.588
_cell_angle_alpha 90.00
_cell_angle_beta 90.00
_cell_angle_gamma 90.00
_symmetry_space_group_name_H-M 'F m -3 m'
_symmetry_Int_Tables_number 225
_symmetry_space_group_name_Hall '-F 4 2 3'
loop_
_atom_site_label
_atom_site_fract_x
_atom_site_fract_y
_atom_site_fract_z
Ba1 0.000 0.000 0.000
Ca1 0.250 0.250 0.250
Sc1 0.000 0.000 0.500
```

Energy above the most stable polymorph in this dataset in meV per atom: 63
Spin magnetization in μB per formula unit: 0.0
ΔH_f (0 K) in meV per atom: 242